BiAsRu2F | Alexandria via LeMat-Bulk | PBE | relaxed; ρ = 9.15 g cm⁻³; ΔE_f (raw) = 0.7839 eV per atom; final energy = -5.007 eV/atom; spin magnetization = 2.48 Bohr magnetons per cell; energy above the most stable polymorph in this dataset = 0 meV per atom
1.0
4.325 0.000 0.000
0.000 4.325 0.000
0.000 0.000 4.898
Bi As Ru F
1 1 2 1
direct
0.000 0.000 0.000 Bi
0.500 0.500 0.000 As
0.000 0.500 0.500 Ru
0.500 0.000 0.500 Ru
0.000 0.000 0.500 F

=====

BaTlAu2 | Alexandria via LeMat-Bulk | PBE | relaxed; formation energy = -0.27 eV per atom; ρ = 11.09 g cm⁻³; final energy = -2.986 eV/atom; spin magnetization = 0.00 Bohr magnetons per cell
1.0
0.000 3.805 3.805
3.805 0.000 3.805
3.805 3.805 0.000
Ba Tl Au
1 1 2
direct
0.000 0.000 0.000 Ba
0.750 0.750 0.750 Tl
0.250 0.250 0.250 Au
0.500 0.500 0.500 Au

=====

Ni3Te4 | Alexandria via LeMat-Bulk | PBE | relaxed; ρ = 7.78 g cm⁻³; ΔE_f (raw) = 0.0590 eV per atom; final energy = -4.214 eV/atom; spin magnetization = 0.00 Bohr magnetons per cell
1.0
-1.830 1.830 10.943
1.830 -1.830 10.943
1.830 1.830 -10.943
Ni Te
3 4
direct
0.000 0.000 0.000 Ni
0.315 0.315 0.000 Ni
0.685 0.685 0.000 Ni
0.196 0.196 0.000 Te
0.432 0.432 0.000 Te
0.568 0.568 0.000 Te
0.804 0.804 0.000 Te